First-principles (PBE) data for a geometry-optimized Li2Mg2ZnAu4 structure, as listed in Alexandria via LeMat-Bulk.

The space group is I4/mmm (No. 139) and the conventional cell measures 6.559, 6.559 and 7.532 Å, with angles of 90.00, 90.00 and 90.00 degrees. The asymmetric unit holds Li at (0.000, 0.000, 0.189), Mg at (0.000, 0.500, 0.250), Zn at (0.000, 0.000, 0.500) and Au at (0.230, 0.230, 0.000).

First-principles (PBE) data for a geometry-optimized Li2MgZn2Au5 structure, as listed in Alexandria via LeMat-Bulk.

The space group is P4/mbm (No. 127) and the conventional cell measures 9.805, 9.805 and 3.758 Å, with angles of 90.00, 90.00 and 90.00 degrees. The asymmetric unit holds Li at (0.165, 0.335, 0.000), Mg at (0.000, 0.000, 0.000), Zn at (0.129, 0.629, 0.000), Au at (0.000, 0.500, 0.500) and Au at (0.107, 0.818, 0.500).

First-principles (PBE) data for a geometry-optimized LiMgZnAu2 structure, as listed in Alexandria via LeMat-Bulk.

The space group is P2_1/m (No. 11) and the conventional cell measures 6.305, 4.098 and 6.414 Å, with angles of 90.00, 90.89 and 90.00 degrees. The asymmetric unit holds Li at (0.064, 0.250, 0.169), Mg at (0.243, 0.250, 0.745), Zn at (0.446, 0.250, 0.335), Au at (0.169, 0.750, 0.450) and Au at (0.329, 0.750, 0.029).

First-principles (PBE) data for a geometry-optimized LiMgZrAu2 structure, as listed in Alexandria via LeMat-Bulk.

The space group is P4/mmm (No. 123) and the conventional cell measures 4.570, 4.570 and 4.360 Å, with angles of 90.00, 90.00 and 90.00 degrees. The asymmetric unit holds Li at (0.000, 0.000, 0.000), Mg at (0.000, 0.000, 0.500), Zr at (0.500, 0.500, 0.500) and Au at (0.000, 0.500, 0.000).

First-principles (PBE) data for a geometry-optimized LiMn2Au structure, as listed in Alexandria via LeMat-Bulk.

The space group is I-42d (No. 122) and the conventional cell measures 3.380, 3.380 and 18.795 Å, with angles of 90.00, 90.00 and 90.00 degrees. The asymmetric unit holds Li at (0.000, 0.000, 0.000), Mn at (0.191, 0.250, 0.125) and Au at (0.000, 0.000, 0.500).

First-principles (PBE) data for a geometry-optimized Li2MnAu3 structure, as listed in Alexandria via LeMat-Bulk.

The space group is Cmmm (No. 65) and the conventional cell measures 4.506, 13.499 and 6.214 Å, with angles of 90.00, 90.00 and 90.00 degrees. The asymmetric unit holds Li at (0.000, 0.000, 0.000), Li at (0.000, 0.000, 0.500), Li at (0.000, 0.332, 0.000), Mn at (0.000, 0.333, 0.500), Au at (0.000, 0.165, 0.244) and Au at (0.000, 0.500, 0.245).

First-principles (PBE) data for a geometry-optimized LiMnAu2 structure, as listed in Alexandria via LeMat-Bulk.

The space group is C2/m (No. 12) and the conventional cell measures 8.246, 2.823 and 5.850 Å, with angles of 90.00, 97.57 and 90.00 degrees. The asymmetric unit holds Li at (0.000, 0.000, 0.000), Mn at (0.000, 0.500, 0.500) and Au at (0.246, 0.000, 0.760).

First-principles (PBE) data for a geometry-optimized Li2MnAu2 structure, as listed in Alexandria via LeMat-Bulk.

The space group is P4/mbm (No. 127) and the conventional cell measures 7.180, 7.180 and 2.729 Å, with angles of 90.00, 90.00 and 90.00 degrees. The asymmetric unit holds Li at (0.117, 0.383, 0.000), Mn at (0.000, 0.000, 0.000) and Au at (0.184, 0.684, 0.500).

First-principles (PBE) data for a geometry-optimized Li2MnAu structure, as listed in Alexandria via LeMat-Bulk.

The space group is Pmmm (No. 47) and the conventional cell measures 2.820, 3.953 and 5.523 Å, with angles of 90.00, 90.00 and 90.00 degrees. The asymmetric unit holds Li at (0.000, 0.000, 0.239), Mn at (0.500, 0.500, 0.500) and Au at (0.500, 0.500, 0.000).

First-principles (PBE) data for a geometry-optimized LiMnAu2 structure, as listed in Alexandria via LeMat-Bulk.

The space group is P4/mmm (No. 123) and the conventional cell measures 4.551, 4.551 and 3.084 Å, with angles of 90.00, 90.00 and 90.00 degrees. The asymmetric unit holds Li at (0.000, 0.000, 0.000), Mn at (0.500, 0.500, 0.000) and Au at (0.000, 0.500, 0.500).

First-principles (PBE) data for a geometry-optimized Li2MnAu8 structure, as listed in Alexandria via LeMat-Bulk.

The space group is P1 (No. 1) and the conventional cell measures 4.916, 6.531 and 6.593 Å, with angles of 107.89, 99.35 and 105.21 degrees. The asymmetric unit holds Li at (0.000, 0.000, 0.000), Li at (0.106, 0.366, 0.801), Mn at (0.894, 0.628, 0.196), Au at (0.192, 0.727, 0.638), Au at (0.262, 0.084, 0.443), Au at (0.340, 0.443, 0.252), Au at (0.435, 0.805, 0.086), Au at (0.560, 0.187, 0.911), Au at (0.667, 0.556, 0.756), Au at (0.740, 0.913, 0.556) and Au at (0.811, 0.272, 0.364).

First-principles (PBE) data for a geometry-optimized LiMnAu2 structure, as listed in Alexandria via LeMat-Bulk.

The space group is P4mm (No. 99) and the conventional cell measures 3.472, 3.472 and 5.541 Å, with angles of 90.00, 90.00 and 90.00 degrees. The asymmetric unit holds Li at (0.000, 0.000, 0.000), Mn at (0.500, 0.500, 0.293), Au at (0.000, 0.000, 0.496) and Au at (0.500, 0.500, 0.807).

How do the records compare in calculated total energy? In the order shown, they have -2.740, -2.790, -2.697, -3.740, -5.409, -4.173, -4.500, -3.822, -4.119, -4.693, -3.805, -4.562 eV/atom.
How do the records compare in spin magnetization? In the order shown, they have 0.00, 0.00, 0.00, 0.00, 3.17, 17.16, 8.52, 0.08, 3.86, 3.96, 3.99, 4.26 μB per cell.
How do the records compare in energy of formation from the pure elements? In the order shown, they have -362, -355, -430, -17, 474, -368, -90, 88, -51, -283, -240, -152 meV/atom.